Record 1
This record from Alexandria via LeMat-Bulk describes Tl2Cd5In2Hg3 after structural relaxation. The functional is GGA-PBE.

Space-group type: No. 139
E_form: 35 meV/atom

Lattice parameters (Å, degrees): 4.4889 4.4889 15.9074 98.11 98.11 90.00
Atoms (fractional coordinates):
Tl: 0.7586 0.7586 0.5171
Tl: 0.2414 0.2414 0.4829
Cd: 0.5718 0.0718 0.1436
Cd: 0.4282 0.9282 0.8564
Cd: 0.0718 0.5718 0.1436
Cd: 0.9282 0.4282 0.8564
Cd: 0.5000 0.5000 0.0000
In: 0.3459 0.3459 0.6919
In: 0.6541 0.6541 0.3081
Hg: 0.1432 0.1432 0.2865
Hg: 0.8568 0.8568 0.7135
Hg: 0.0000 0.0000 0.0000

Record 2
This record from Alexandria via LeMat-Bulk describes K2InGaAu6 after structural relaxation. The functional is GGA-PBE.

Space-group type: No. 71
E_form: -115 meV/atom

Lattice parameters (Å, degrees): 7.3542 7.3542 7.3459 60.02 60.02 90.01
Atoms (fractional coordinates):
K: 0.2500 0.7500 0.5000
K: 0.7500 0.2500 0.5000
In: 0.0000 0.0000 0.0000
Ga: 0.5000 0.5000 0.0000
Au: 0.2593 0.7407 0.0000
Au: 0.7406 0.7406 0.0001
Au: 0.2594 0.2594 0.4814
Au: 0.7407 0.2593 0.0000
Au: 0.2594 0.2594 0.9999
Au: 0.7406 0.7406 0.5186

Record 3
This record from Alexandria via LeMat-Bulk describes AlRuS after structural relaxation. The functional is GGA-PBE.

Space-group type: No. 6
Energy above the most stable polymorph in this dataset: 0.1420 eV per atom
Raw formation energy: -363 meV/atom

Lattice parameters (Å, degrees): 5.7402 2.9771 6.2383 90.00 110.14 90.00
Atoms (fractional coordinates):
Ru: 0.3087 0.0000 0.0772
Ru: 0.3259 0.0000 0.5386
S: 0.5413 0.5000 0.3788
S: 0.9655 0.5000 0.9423
Al: 0.5355 0.5000 0.8761
Al: 0.9862 0.5000 0.5755

Record 4
This record from Alexandria via LeMat-Bulk describes KLi3Cu4F12 after structural relaxation. The functional is GGA-PBE.

Space-group type: No. 204
Raw formation energy: -2066 meV/atom

Lattice parameters (Å, degrees): 6.6435 6.6435 6.6435 109.47 109.47 109.47
Each line ends with the local moment (μB).
Atoms (fractional coordinates):
K: 0.0000 0.0000 0.0000  0.00
Li: 0.0000 0.5000 0.5000  0.00
Li: 0.5000 0.5000 0.0000  0.00
Li: 0.5000 0.0000 0.5000  0.00
Cu: 0.5000 0.0000 0.0000  0.74
Cu: 0.5000 0.5000 0.5000  0.74
Cu: 0.0000 0.5000 0.0000  0.74
Cu: 0.0000 0.0000 0.5000  0.74
F: 0.3111 0.8170 0.1281  0.09
F: 0.6889 0.1830 0.8719  0.09
F: 0.6889 0.8170 0.5059  0.09
F: 0.8719 0.6889 0.1830  0.09
F: 0.8170 0.1281 0.3111  0.09
F: 0.1830 0.4941 0.3111  0.09
F: 0.4941 0.3111 0.1830  0.09
F: 0.1830 0.8719 0.6889  0.09
F: 0.3111 0.1830 0.4941  0.09
F: 0.1281 0.3111 0.8170  0.09
F: 0.8170 0.5059 0.6889  0.09
F: 0.5059 0.6889 0.8170  0.09

Record 5
This record from Alexandria via LeMat-Bulk describes TbInAu after structural relaxation. The functional is GGA-PBE.

Space-group type: No. 187
E_form: -666 meV/atom

Lattice parameters (Å, degrees): 3.4994 4.8199 4.8199 120.00 90.00 90.00
Atoms (fractional coordinates):
Tb: 0.6667 0.6667 0.3333
Au: 0.1662 0.3333 0.6667
In: 0.1671 0.0000 0.0000

no.,total magnetization (μB/f.u.)
1,0.00
2,0.00
3,0.00
4,4.04
5,0.00